[1]
4
Lattice="7.681 -3.381 4.604 6.852 -5.880 3.178 8.574 -3.863 1.786" Properties=species:S:1:pos:R:3 comment="BeIF2, relaxed, DFT PBE" spacegroup="R-3m, No. 166" n_ef_per_ev_atom=0.17 raw_formation_energy_ev_per_atom=-1.8023 pbc="T T T"
I 0.000 0.000 0.000
Be 11.554 -6.562 4.784
F 19.924 -11.316 8.249
F 3.184 -1.808 1.318

=====

[2]
5
Lattice="5.013 0.000 0.000 0.000 5.013 0.000 0.000 0.000 5.013" Properties=species:S:1:pos:R:3 comment="Be3IF, relaxed, DFT PBE" spacegroup="Pm-3m, No. 221" n_ef_per_ev_atom=0.49 raw_formation_energy_ev_per_atom=1.4447 pbc="T T T"
I 0.000 0.000 0.000
Be 0.000 2.507 0.000
Be 0.000 0.000 2.507
Be 2.507 0.000 0.000
F 2.507 2.507 2.507

=====

[3]
4
Lattice="0.000 3.125 3.125 3.125 0.000 3.125 3.125 3.125 0.000" Properties=species:S:1:pos:R:3 comment="BeIF2, relaxed, DFT PBE" spacegroup="Fm-3m, No. 225" n_ef_per_ev_atom=0.81 raw_formation_energy_ev_per_atom=-0.1441 pbc="T T T"
I 3.125 3.125 3.125
Be 0.000 0.000 0.000
F 1.562 1.562 1.562
F 4.687 4.687 4.687

=====

[4]
5
Lattice="4.224 0.000 0.000 0.000 4.224 0.000 0.000 0.000 4.224" Properties=species:S:1:pos:R:3 comment="Be3IF, relaxed, DFT PBE" spacegroup="Pm-3m, No. 221" n_ef_per_ev_atom=0.70 raw_formation_energy_ev_per_atom=0.7027 pbc="T T T"
I 2.112 2.112 2.112
Be 0.000 2.112 0.000
Be 0.000 0.000 2.112
Be 2.112 0.000 0.000
F 0.000 0.000 0.000

=====

no.,magnetization (μB/f.u.),raw total energy (eV per atom),energy above the lowest structure with this stoichiometry (kJ per mole of atoms)
1,0.000,-4.057,17.1
2,0.000,-1.475,71.6
3,0.000,-2.399,177.1
4,0.000,-2.217,0.0